Record 1
Pm12Al2Ge5: relaxed, GGA-PBE.

```
19
Lattice="-6.478 -2.151 2.435 6.762 -6.142 1.781 0.708 6.218 7.375" Properties=species:S:1:pos:R:3 pbc="T T T"
Pm 3.972 -2.675 8.205
Al -2.077 -0.690 0.781
Pm -0.129 0.808 5.672
Ge 0.354 3.109 3.688
Pm 1.121 -2.883 5.919
Pm -0.363 -2.455 2.434
Ge -1.417 1.523 8.359
Ge 2.410 -3.598 3.233
Al -4.401 -1.461 1.654
Pm -2.980 0.600 3.387
Ge -1.580 -1.709 5.071
Pm 0.777 4.640 6.166
Ge 2.572 -0.365 6.520
Pm -3.422 -0.286 6.910
Pm 1.355 0.380 9.157
Pm 0.215 -6.715 5.425
Pm 4.488 1.420 7.979
Pm 4.415 -1.789 4.681
Pm -3.496 -3.495 3.612
```

Summary:
calculated formation energy = -0.38 eV/atom
magnetic moment = 0.000 μB per atom

=====

Record 2
Pm3Al4Ge3: relaxed, GGA-PBE.

```
20
Lattice="-7.647 -2.172 -2.594 0.368 -0.521 8.338 1.624 7.851 -2.376" Properties=species:S:1:pos:R:3 pbc="T T T"
Pm -1.604 5.009 -1.713
Al -2.894 2.673 0.181
Al -2.261 -0.955 3.339
Pm -1.387 -0.018 6.350
Ge -0.071 2.282 5.038
Al -0.024 4.595 3.588
Pm -0.412 1.496 2.208
Al 0.519 2.510 -0.760
Ge -4.268 5.175 -2.982
Ge -2.573 0.036 0.815
Pm -4.896 0.989 2.375
Al -4.843 -0.156 -0.690
Ge -0.759 4.168 0.993
Pm -3.083 5.121 2.553
Al -2.710 2.412 4.350
Ge -4.051 0.149 5.080
Al -6.084 -2.041 2.043
Al 1.331 6.436 -1.948
Ge -5.243 3.662 1.159
Pm -5.584 2.876 -1.670
```

Summary:
calculated formation energy = -0.43 eV/atom
magnetic moment = 0.000 μB per atom

=====

Record 3
Pm4AlGe: relaxed, GGA-PBE.

```
24
Lattice="8.604 0.000 4.968 2.868 8.112 4.968 0.000 0.000 9.935" Properties=species:S:1:pos:R:3 pbc="T T T"
Al 1.983 1.402 3.435
Pm 3.937 6.600 6.820
Pm 9.738 4.480 12.938
Pm 6.336 4.480 14.903
Ge 6.954 4.917 12.044
Pm 5.736 6.720 9.935
Pm 4.480 3.168 7.760
Pm 9.334 6.600 9.935
Ge 3.301 4.917 9.935
Al 4.638 1.402 4.968
Ge 6.954 4.917 7.827
Pm 7.535 1.512 6.820
Pm 7.535 1.512 13.051
Pm 7.470 7.688 16.867
Pm 4.480 3.168 12.111
Pm 3.937 6.600 13.051
Al 2.868 3.905 4.968
Pm 8.248 3.168 9.935
Pm 9.738 4.480 16.867
Pm 2.138 1.512 9.935
Ge 5.736 1.474 9.935
Pm 10.873 7.688 14.903
Al 1.983 1.402 6.500
Pm 7.470 7.688 12.938
```

Summary:
calculated formation energy = -0.40 eV/atom
magnetic moment = 0.009 μB per atom
offset from the most stable computed form = 0 meV/atom

=====

Record 4
Pm6AlGe3: relaxed, GGA-PBE.

```
20
Lattice="-1.404 3.913 1.171 2.771 -2.405 11.356 9.922 5.205 -5.501" Properties=species:S:1:pos:R:3 pbc="T T T"
Al 5.231 0.274 9.334
Pm 0.512 2.252 5.034
Pm 7.549 1.713 7.307
Pm 8.666 4.978 5.700
Pm 3.677 2.605 7.648
Ge 5.859 3.890 5.971
Al 6.057 6.439 -2.308
Ge 2.837 0.539 5.583
Pm 6.267 4.958 2.893
Ge 5.429 2.823 1.055
Pm 8.811 5.483 -3.776
Pm 5.022 1.756 4.133
Pm 7.611 4.108 -0.622
Pm 3.740 5.001 -0.281
Ge 11.135 3.753 4.787
Ge 8.451 6.175 1.444
Pm 2.623 1.736 1.327
Pm 10.777 4.461 1.992
Pm 2.477 1.231 10.802
Ge 0.154 2.960 2.240
```

Summary:
calculated formation energy = -0.50 eV/atom
magnetic moment = 0.001 μB per atom

=====

Record 5
PmAl3Ge3: relaxed, GGA-PBE.

```
14
Lattice="7.266 0.000 0.000 3.633 6.292 0.000 3.633 2.097 6.974" Properties=species:S:1:pos:R:3 pbc="T T T"
Al 9.663 4.165 2.567
Pm 7.266 4.195 6.968
Al 4.868 4.225 4.407
Al 8.491 6.256 4.407
Ge 4.806 4.258 1.743
Ge 8.441 2.033 1.743
Ge 8.551 6.293 1.743
Pm 7.266 4.195 0.006
Al 6.041 2.134 2.567
Al 8.438 2.104 4.407
Ge 9.726 4.131 5.231
Ge 6.091 6.357 5.231
Ge 5.981 2.096 5.231
Al 6.093 6.286 2.567
```

Summary:
calculated formation energy = -0.29 eV/atom
magnetic moment = 0.000 μB per atom
offset from the most stable computed form = 0 meV/atom

=====

Record 6
PmAlGe4: relaxed, GGA-PBE.

```
6
Lattice="5.585 0.000 0.000 2.793 4.837 0.000 2.793 1.612 4.560" Properties=species:S:1:pos:R:3 pbc="T T T"
Ge 6.990 4.036 2.854
Ge 5.585 1.602 2.854
Al 0.000 0.000 0.000
Ge 5.585 3.225 0.559
Ge 4.180 4.036 2.854
Pm 2.793 1.612 1.140
```

Summary:
calculated formation energy = -0.13 eV/atom
magnetic moment = 0.000 μB per atom

=====

Record 7
PmAl3Ge3: relaxed, GGA-PBE.

```
14
Lattice="3.848 0.000 0.000 0.000 8.039 -4.641 0.000 0.000 9.283" Properties=species:S:1:pos:R:3 pbc="T T T"
Ge 2.886 4.954 2.473
Al 2.886 7.568 2.595
Al 0.962 1.537 7.851
Al 2.886 2.008 0.615
Ge 0.962 0.335 5.527
Pm 0.962 5.359 0.000
Ge 2.886 7.704 -0.885
Al 0.962 0.471 2.047
Ge 2.886 3.420 -1.588
Ge 0.962 4.619 6.229
Pm 2.886 2.680 4.641
Al 0.962 6.031 4.026
Al 2.886 6.502 -3.210
Ge 0.962 3.085 2.168
```

Summary:
calculated formation energy = -0.17 eV/atom
magnetic moment = 0.000 μB per atom
offset from the most stable computed form = 123 meV/atom

=====

Record 8
PmAlGe: relaxed, GGA-PBE.

```
12
Lattice="-1.999 -1.040 -3.457 -3.476 -3.620 3.099 -6.925 8.013 1.592" Properties=species:S:1:pos:R:3 pbc="T T T"
Al -6.337 -1.752 -0.734
Pm -5.874 3.444 -2.566
Al -8.799 2.775 1.789
Ge -3.762 -1.145 0.056
Al -7.062 4.585 0.240
Pm -4.889 -3.662 1.465
Pm -8.250 5.725 3.046
Ge -8.224 2.342 -0.876
Pm -5.786 1.198 0.522
Ge -5.900 6.827 1.356
Al -2.601 1.098 1.173
Ge -6.913 -1.319 1.931
```

Summary:
calculated formation energy = -0.65 eV/atom
magnetic moment = 0.000 μB per atom
offset from the most stable computed form = 19 meV/atom

=====

Record 9
Pm4Al3Ge5: relaxed, GGA-PBE.

```
12
Lattice="4.613 0.000 0.000 2.307 5.616 -0.915 2.307 1.200 10.648" Properties=species:S:1:pos:R:3 pbc="T T T"
Ge 2.307 2.538 1.989
Pm 4.613 6.131 6.202
Al 4.613 3.054 7.427
Ge 4.613 5.570 0.552
Ge 6.920 4.278 7.744
Al 2.307 3.408 4.866
Pm 4.613 5.228 9.824
Ge 4.613 1.246 9.180
Ge 4.613 3.408 4.866
Al 4.613 3.761 2.306
Pm 4.613 1.587 -0.091
Pm 4.613 0.685 3.530
```

Summary:
calculated formation energy = -0.38 eV/atom
magnetic moment = 0.000 μB per atom

=====

Record 10
Pm4AlGe4: relaxed, GGA-PBE.

```
9
Lattice="7.259 0.000 0.000 0.000 7.259 0.000 -3.629 -3.629 5.050" Properties=species:S:1:pos:R:3 pbc="T T T"
Ge -2.032 -2.032 3.672
Ge 2.032 2.032 3.672
Pm 0.000 0.000 3.171
Pm 3.629 0.000 0.000
Al 0.000 0.000 0.000
Pm 0.000 3.629 0.000
Ge 5.661 1.598 1.378
Pm 3.629 3.629 1.879
Ge 1.598 5.661 1.378
```

Summary:
calculated formation energy = -0.37 eV/atom
magnetic moment = 0.000 μB per atom

=====

Record 11
Pm2Al2Ge: relaxed, GGA-PBE.

```
5
Lattice="3.737 0.000 0.000 0.000 3.737 0.000 -1.868 -1.868 9.003" Properties=species:S:1:pos:R:3 pbc="T T T"
Al 0.000 1.868 4.502
Ge 0.000 0.000 0.000
Al 1.868 0.000 4.502
Pm 0.000 0.000 7.240
Pm 1.868 1.868 1.763
```

Summary:
calculated formation energy = -0.27 eV/atom
magnetic moment = 0.000 μB per atom

=====

Record 12
Pm3Al2Ge4: relaxed, GGA-PBE.

```
9
Lattice="4.274 0.000 0.000 -2.137 5.650 -0.361 0.000 -2.806 8.372" Properties=species:S:1:pos:R:3 pbc="T T T"
Pm 0.000 0.000 0.000
Ge 0.000 -0.077 3.317
Pm 2.137 -0.576 5.723
Ge 2.137 2.921 4.694
Ge 2.137 2.251 0.334
Al 2.137 1.087 2.630
Pm 0.000 3.420 2.288
Ge 0.000 0.593 7.676
Al 0.000 1.758 5.380
```

Summary:
calculated formation energy = -0.62 eV/atom
magnetic moment = 0.000 μB per atom
offset from the most stable computed form = 0 meV/atom